! Ac2Ga4SnRh3 (PBE, optimized geometry); values from VASP
&SYSTEM
  ibrav = 0, nat = 10, ntyp = 4
/
ATOMIC_SPECIES
Rh 102.91 Rh.upf
Ga 69.72 Ga.upf
Ac 227.00 Ac.upf
Sn 118.71 Sn.upf
ATOMIC_POSITIONS angstrom
Rh 1.7263 -1.4126 -1.2794
Rh 1.4246 -5.1279 1.6222
Rh 0.9072 -9.8231 1.6153
Ga 2.3810 -3.7689 -0.5340
Ga 0.0000 0.0000 0.0000
Ga 0.2525 -7.4668 0.8699
Ga -0.2157 -0.9800 -2.9085
Ac -0.9127 -3.2726 -0.4569
Ac 3.5462 -7.9632 0.7928
Sn 1.2089 -6.1079 -1.2863
CELL_PARAMETERS angstrom
-3.1820 -1.6618 -2.4587
2.7506 -0.2982 -3.3582
2.8492 -10.2557 3.2444
! DFT total energy: -53.183 eV/cell
! total magnetic moment: 0.00 μB per formula unit
! ΔE_f: -0.6801 eV/atom